[1]
The following is a PBE-GGA calculation of a relaxed NaSm2MgTe4 crystal, from Alexandria via LeMat-Bulk.

Values from the calculation:
formation energy from raw total energies: -1.18 eV/atom
crystal system: monoclinic
raw total energy: -4.293 eV per atom

a b c (Å): 7.585 4.359 7.815
angles (deg): 90.00 108.44 90.00
Space group P2/m (No. 10)
Asymmetric unit:
Na: 0.000 0.000 0.000
Sm: 0.000 0.500 0.500
Sm: 0.500 0.000 0.500
Mg: 0.500 0.500 0.000
Te: 0.257 0.500 0.246
Te: 0.261 0.000 0.761



[2]
The following is a PBE-GGA calculation of a relaxed NaSmMgTl crystal, from Alexandria via LeMat-Bulk.

Values from the calculation:
formation energy: -108 meV per atom
crystal system: cubic
raw total energy: -2.608 eV per atom

a b c (Å): 7.585 7.585 7.585
angles (deg): 90.00 90.00 90.00
Space group F-43m (No. 216)
Asymmetric unit:
Na: 0.000 0.000 0.000
Sm: 0.000 0.000 0.500
Mg: 0.250 0.250 0.750
Tl: 0.250 0.250 0.250



[3]
The following is a PBE-GGA calculation of a relaxed NaMg6Sn crystal, from Alexandria via LeMat-Bulk.

Values from the calculation:
excess energy over the best structure of this formula in the dataset: 0.02 eV per formula unit
formation energy: -11 meV per atom
crystal system: orthorhombic
raw total energy: -1.872 eV per atom

a b c (Å): 5.157 6.568 11.248
angles (deg): 90.00 90.00 90.00
Space group Amm2 (No. 38)
Asymmetric unit:
Na: 0.000 0.000 0.000
Mg: 0.000 0.000 0.503
Mg: 0.000 0.249 0.249
Mg: 0.500 0.000 0.335
Mg: 0.500 0.243 0.584
Sn: 0.500 0.000 0.832



[4]
The following is a PBE-GGA calculation of a relaxed NaMg4Sn2 crystal, from Alexandria via LeMat-Bulk.

Values from the calculation:
excess energy over the best structure of this formula in the dataset: 1.05 eV per formula unit
formation energy: 3 meV per atom
crystal system: tetragonal
raw total energy: -2.240 eV per atom

a b c (Å): 4.365 4.365 21.532
angles (deg): 90.00 90.00 90.00
Space group I4/mmm (No. 139)
Asymmetric unit:
Na: 0.000 0.000 0.000
Mg: 0.000 0.000 0.145
Mg: 0.000 0.500 0.250
Sn: 0.000 0.000 0.354



[5]
The following is a PBE-GGA calculation of a relaxed Na2Mg2Sn crystal, from Alexandria via LeMat-Bulk.

Values from the calculation:
formation energy: 2 meV per atom
crystal system: tetragonal
raw total energy: -1.964 eV per atom

a b c (Å): 7.423 7.423 5.331
angles (deg): 90.00 90.00 90.00
Space group P4/mbm (No. 127)
Asymmetric unit:
Na: 0.174 0.326 0.000
Mg: 0.140 0.640 0.500
Sn: 0.000 0.000 0.500



[6]
The following is a PBE-GGA calculation of a relaxed NaMg4Sn2 crystal, from Alexandria via LeMat-Bulk.

Values from the calculation:
excess energy over the best structure of this formula in the dataset: 0.00 eV per formula unit
formation energy: -147 meV per atom
crystal system: tetragonal
raw total energy: -2.390 eV per atom

a b c (Å): 8.817 8.817 4.736
angles (deg): 90.00 90.00 90.00
Space group P4_2/mnm (No. 136)
Asymmetric unit:
Na: 0.000 0.000 0.000
Mg: 0.081 0.334 0.500
Sn: 0.236 0.764 0.500



Question: Among the records above, which one has the lowest raw total energy?
Answer: NaSm2MgTe4



Question: Which formula does entry 6 have?
Answer: NaMg4Sn2



Question: Among the records above, which one has the highest raw total energy?
Answer: NaMg6Sn



Question: The lowest raw total energy belongs to which entry?
Answer: NaSm2MgTe4